1.
# GGA-PBEsol CaCr2Ag, relaxed
# Total magnetization   0.000 μB/cell
# Formation energy   3.96 eV/f.u.
# ΔE to the lowest computed polymorph   390.5 meV per atom
data_CaCr2Ag
_chemical_formula_sum 'Ca1 Cr2 Ag1'
_symmetry_space_group_name_H-M 'P 4/m m m'
_symmetry_Int_Tables_number 123
_symmetry_space_group_name_Hall '-P 4 2'
_cell_length_a 3.709
_cell_length_b 3.709
_cell_length_c 4.707
_cell_angle_alpha 90.00
_cell_angle_beta 90.00
_cell_angle_gamma 90.00
loop_
_atom_site_label
_atom_site_type_symbol
_atom_site_fract_x
_atom_site_fract_y
_atom_site_fract_z
Ca1 Ca 0.000 0.000 0.000
Cr1 Cr 0.000 0.500 0.500
Ag1 Ag 0.500 0.500 0.000



2.
# GGA-PBEsol Ca2CrAg, relaxed
# Total magnetization   13.548 μB/cell
# Formation energy   2.19 eV/f.u.
# ΔE to the lowest computed polymorph   218.2 meV per atom
data_Ca2CrAg
_chemical_formula_sum 'Ca6 Cr3 Ag3'
_symmetry_space_group_name_H-M 'R -3 m'
_symmetry_Int_Tables_number 166
_symmetry_space_group_name_Hall '-R 3 2"'
_cell_length_a 3.6545
_cell_length_b 3.6545
_cell_length_c 27.8992
_cell_angle_alpha 90.00
_cell_angle_beta 90.00
_cell_angle_gamma 120.00
loop_
_atom_site_label
_atom_site_type_symbol
_atom_site_fract_x
_atom_site_fract_y
_atom_site_fract_z
Ca1 Ca 0.0000 0.0000 0.2455
Cr1 Cr 0.0000 0.0000 0.0000
Ag1 Ag 0.0000 0.0000 0.5000



3.
# GGA-PBEsol CaCr2Ag, relaxed
# Total magnetization   0.069 μB/cell
# Formation energy   3.18 eV/f.u.
# ΔE to the lowest computed polymorph   196.9 meV per atom
data_CaCr2Ag
_chemical_formula_sum 'Ca1 Cr2 Ag1'
_symmetry_space_group_name_H-M 'P 4/m m m'
_symmetry_Int_Tables_number 123
_symmetry_space_group_name_Hall '-P 4 2'
_cell_length_a 3.546
_cell_length_b 3.546
_cell_length_c 6.187
_cell_angle_alpha 90.00
_cell_angle_beta 90.00
_cell_angle_gamma 90.00
loop_
_atom_site_label
_atom_site_type_symbol
_atom_site_fract_x
_atom_site_fract_y
_atom_site_fract_z
Ca1 Ca 0.000 0.000 0.000
Cr1 Cr 0.500 0.500 0.352
Ag1 Ag 0.000 0.000 0.500



4.
# GGA-PBEsol CaCr2Ag, relaxed
# Total magnetization   0.079 μB/cell
# Formation energy   2.39 eV/f.u.
# ΔE to the lowest computed polymorph   0.0 meV per atom
data_CaCr2Ag
_chemical_formula_sum 'Ca4 Cr8 Ag4'
_symmetry_space_group_name_H-M 'F -4 3 m'
_symmetry_Int_Tables_number 216
_symmetry_space_group_name_Hall 'F -4 2 3'
_cell_length_a 6.672
_cell_length_b 6.672
_cell_length_c 6.672
_cell_angle_alpha 90.00
_cell_angle_beta 90.00
_cell_angle_gamma 90.00
loop_
_atom_site_label
_atom_site_type_symbol
_atom_site_fract_x
_atom_site_fract_y
_atom_site_fract_z
Ca1 Ca 0.000 0.000 0.000
Cr1 Cr 0.000 0.000 0.500
Cr2 Cr 0.250 0.250 0.750
Ag1 Ag 0.250 0.250 0.250



5.
# GGA-PBEsol CaCr2Ag, relaxed
# Total magnetization   0.003 μB/cell
# Formation energy   2.77 eV/f.u.
# ΔE to the lowest computed polymorph   92.9 meV per atom
data_CaCr2Ag
_chemical_formula_sum 'Ca2 Cr4 Ag2'
_symmetry_space_group_name_H-M 'C 1 2/m 1'
_symmetry_Int_Tables_number 12
_cell_length_a 9.939
_cell_length_b 2.984
_cell_length_c 5.152
_cell_angle_alpha 90.00
_cell_angle_beta 103.81
_cell_angle_gamma 90.00
loop_
_symmetry_equiv_pos_as_xyz
'x,y,z'
'-x,-y,-z'
'-x,y,-z'
'x,-y,z'
'x+1/2,y+1/2,z'
'-x+1/2,-y+1/2,-z'
'-x+1/2,y+1/2,-z'
'x+1/2,-y+1/2,z'
loop_
_atom_site_label
_atom_site_type_symbol
_atom_site_fract_x
_atom_site_fract_y
_atom_site_fract_z
Ca1 Ca 0.000 0.000 0.000
Cr1 Cr 0.230 0.000 0.628
Ag1 Ag 0.000 0.500 0.500



6.
# GGA-PBEsol Ca2CrAg2, relaxed
# Total magnetization   9.513 μB/cell
# Formation energy   1.70 eV/f.u.
data_Ca2CrAg2
_chemical_formula_sum 'Ca4 Cr2 Ag4'
_symmetry_space_group_name_H-M 'I 4/m m m'
_symmetry_Int_Tables_number 139
_symmetry_space_group_name_Hall '-I 4 2'
_cell_length_a 3.804
_cell_length_b 3.804
_cell_length_c 17.293
_cell_angle_alpha 90.00
_cell_angle_beta 90.00
_cell_angle_gamma 90.00
loop_
_atom_site_label
_atom_site_type_symbol
_atom_site_fract_x
_atom_site_fract_y
_atom_site_fract_z
Ca1 Ca 0.000 0.000 0.108
Cr1 Cr 0.000 0.000 0.500
Ag1 Ag 0.000 0.500 0.250



7.
# GGA-PBEsol CaCrAg2, relaxed
# Total magnetization   4.321 μB/cell
# Formation energy   0.97 eV/f.u.
data_CaCrAg2
_chemical_formula_sum 'Ca1 Cr1 Ag2'
_symmetry_space_group_name_H-M 'P m m m'
_symmetry_Int_Tables_number 47
_cell_length_a 3.379
_cell_length_b 3.473
_cell_length_c 6.753
_cell_angle_alpha 90.00
_cell_angle_beta 90.00
_cell_angle_gamma 90.00
loop_
_symmetry_equiv_pos_as_xyz
'x,y,z'
'-x,-y,-z'
'-x,-y,z'
'x,y,-z'
'x,-y,-z'
'-x,y,z'
'-x,y,-z'
'x,-y,z'
loop_
_atom_site_label
_atom_site_type_symbol
_atom_site_fract_x
_atom_site_fract_y
_atom_site_fract_z
Ca1 Ca 0.000 0.000 0.000
Cr1 Cr 0.000 0.000 0.500
Ag1 Ag 0.500 0.500 0.289



8.
# GGA-PBEsol Ca2CrAg, relaxed
# Total magnetization   4.407 μB/cell
# Formation energy   1.32 eV/f.u.
# ΔE to the lowest computed polymorph   0.0 meV per atom
data_Ca2CrAg
_chemical_formula_sum 'Ca2 Cr1 Ag1'
_symmetry_space_group_name_H-M 'P 4 m m'
_symmetry_Int_Tables_number 99
_cell_length_a 3.590
_cell_length_b 3.590
_cell_length_c 8.088
_cell_angle_alpha 90.00
_cell_angle_beta 90.00
_cell_angle_gamma 90.00
loop_
_symmetry_equiv_pos_as_xyz
'x,y,z'
'-y,x,z'
'-x,-y,z'
'y,-x,z'
'-x,y,z'
'y,x,z'
'x,-y,z'
'-y,-x,z'
loop_
_atom_site_label
_atom_site_type_symbol
_atom_site_fract_x
_atom_site_fract_y
_atom_site_fract_z
Ca1 Ca 0.000 0.000 0.000
Ca2 Ca 0.500 0.500 0.371
Cr1 Cr 0.000 0.000 0.620
Ag1 Ag 0.500 0.500 0.764



9.
# GGA-PBEsol CsCaAg3, relaxed
# Total magnetization   0.001 μB/cell
# Formation energy   5.22 eV/f.u.
data_CsCaAg3
_chemical_formula_sum 'Cs1 Ca1 Ag3'
_symmetry_space_group_name_H-M 'P m -3 m'
_symmetry_Int_Tables_number 221
_symmetry_space_group_name_Hall '-P 4 2 3'
_cell_length_a 5.786
_cell_length_b 5.786
_cell_length_c 5.786
_cell_angle_alpha 90.00
_cell_angle_beta 90.00
_cell_angle_gamma 90.00
loop_
_atom_site_label
_atom_site_type_symbol
_atom_site_fract_x
_atom_site_fract_y
_atom_site_fract_z
Cs1 Cs 0.000 0.000 0.000
Ca1 Ca 0.500 0.500 0.500
Ag1 Ag 0.000 0.000 0.500



10.
# GGA-PBEsol Ca3CuAg, relaxed
# Total magnetization   0.000 μB/cell
# Formation energy   1.58 eV/f.u.
data_Ca3CuAg
_chemical_formula_sum 'Ca3 Cu1 Ag1'
_symmetry_space_group_name_H-M 'P m -3 m'
_symmetry_Int_Tables_number 221
_symmetry_space_group_name_Hall '-P 4 2 3'
_cell_length_a 5.560
_cell_length_b 5.560
_cell_length_c 5.560
_cell_angle_alpha 90.00
_cell_angle_beta 90.00
_cell_angle_gamma 90.00
loop_
_atom_site_label
_atom_site_type_symbol
_atom_site_fract_x
_atom_site_fract_y
_atom_site_fract_z
Ca1 Ca 0.000 0.000 0.500
Cu1 Cu 0.500 0.500 0.500
Ag1 Ag 0.000 0.000 0.000



11.
# GGA-PBEsol CaCuAg, relaxed
# Total magnetization   0.000 μB/cell
# Formation energy   0.38 eV/f.u.
# ΔE to the lowest computed polymorph   253.5 meV per atom
data_CaCuAg
_chemical_formula_sum 'Ca4 Cu4 Ag4'
_symmetry_space_group_name_H-M 'F -4 3 m'
_symmetry_Int_Tables_number 216
_symmetry_space_group_name_Hall 'F -4 2 3'
_cell_length_a 6.483
_cell_length_b 6.483
_cell_length_c 6.483
_cell_angle_alpha 90.00
_cell_angle_beta 90.00
_cell_angle_gamma 90.00
loop_
_atom_site_label
_atom_site_type_symbol
_atom_site_fract_x
_atom_site_fract_y
_atom_site_fract_z
Ca1 Ca 0.000 0.000 0.000
Cu1 Cu 0.000 0.000 0.500
Ag1 Ag 0.250 0.250 0.750



12.
# GGA-PBEsol CaCuAg, relaxed
# Total magnetization   0.000 μB/cell
# Formation energy   -0.38 eV/f.u.
# ΔE to the lowest computed polymorph   0.0 meV per atom
data_CaCuAg
_chemical_formula_sum 'Ca1 Cu1 Ag1'
_symmetry_space_group_name_H-M 'P -6 m 2'
_symmetry_Int_Tables_number 187
_symmetry_space_group_name_Hall 'P -6 2'
_cell_length_a 4.4114
_cell_length_b 4.4114
_cell_length_c 3.6844
_cell_angle_alpha 90.00
_cell_angle_beta 90.00
_cell_angle_gamma 120.00
loop_
_atom_site_label
_atom_site_type_symbol
_atom_site_fract_x
_atom_site_fract_y
_atom_site_fract_z
Ca1 Ca 0.0000 0.0000 0.0000
Cu1 Cu 0.3333 0.6667 0.5000
Ag1 Ag 0.6667 0.3333 0.5000



Q: Which formula does entry 4 have?
A: CaCr2Ag



Q: Which of these has the lowest formation energy?
A: number 12